No. 1
Density functional theory data (PBE) for Cs3In2Sn4 after structural relaxation.

```
data_Cs3In2Sn4
_chemical_formula_sum 'Cs12 In8 Sn16'
_symmetry_space_group_name_H-M 'C 1 2/c 1'
_symmetry_Int_Tables_number 15
_symmetry_space_group_name_Hall '-C 2yc'
_cell_length_a 18.126
_cell_length_b 11.979
_cell_length_c 7.369
_cell_angle_alpha 90.00
_cell_angle_beta 110.79
_cell_angle_gamma 90.00
loop_
_atom_site_label
_atom_site_type_symbol
_atom_site_fract_x
_atom_site_fract_y
_atom_site_fract_z
_atom_site_occupancy
Cs1 Cs 0.000 0.049 0.250 1
Cs2 Cs 0.102 0.388 0.618 1
In1 In 0.207 0.125 0.923 1
Sn1 Sn 0.145 0.276 0.166 1
Sn2 Sn 0.211 0.119 0.524 1
```

Summary:
Its formation energy from the elements is -0.18 eV/atom. The calculation puts the distance to the lowest polymorph of the same formula at 0 meV/atom. As for the crystal system: monoclinic. The value obtained for the electronic total energy is -2.850 eV/atom.

***

No. 2
Density functional theory data (PBE) for HfNbRe4 after structural relaxation.

```
data_HfNbRe4
_chemical_formula_sum 'Hf4 Nb4 Re16'
_symmetry_space_group_name_H-M 'F -4 3 m'
_symmetry_Int_Tables_number 216
_symmetry_space_group_name_Hall 'F -4 2 3'
_cell_length_a 7.413
_cell_length_b 7.413
_cell_length_c 7.413
_cell_angle_alpha 90.00
_cell_angle_beta 90.00
_cell_angle_gamma 90.00
loop_
_atom_site_label
_atom_site_type_symbol
_atom_site_fract_x
_atom_site_fract_y
_atom_site_fract_z
_atom_site_occupancy
Hf1 Hf 0.000 0.000 0.000 1
Nb1 Nb 0.250 0.250 0.750 1
Re1 Re 0.125 0.125 0.375 1
```

Summary:
Its formation energy from the elements is -0.20 eV/atom. As for the crystal system: cubic. The value obtained for the electronic total energy is -11.838 eV/atom.

***

No. 3
Density functional theory data (PBE) for Y2CdH2 after structural relaxation.

```
data_Y2CdH2
_chemical_formula_sum 'Y4 Cd2 H4'
_symmetry_space_group_name_H-M 'P 4/m b m'
_symmetry_Int_Tables_number 127
_symmetry_space_group_name_Hall '-P 4 2ab'
_cell_length_a 7.392
_cell_length_b 7.392
_cell_length_c 3.136
_cell_angle_alpha 90.00
_cell_angle_beta 90.00
_cell_angle_gamma 90.00
loop_
_atom_site_label
_atom_site_type_symbol
_atom_site_fract_x
_atom_site_fract_y
_atom_site_fract_z
_atom_site_occupancy
Y1 Y 0.159 0.341 0.000 1
Cd1 Cd 0.000 0.000 0.500 1
H1 H 0.102 0.602 0.500 1
```

Summary:
The calculation puts the distance to the lowest polymorph of the same formula at 513 meV/atom. As for the crystal system: tetragonal. The value obtained for the electronic total energy is -4.190 eV/atom.

***

No. 4
Density functional theory data (PBE) for Er5In2HgRh2 after structural relaxation.

```
data_Er5In2HgRh2
_chemical_formula_sum 'Er10 In4 Hg2 Rh4'
_symmetry_space_group_name_H-M 'P 4/m b m'
_symmetry_Int_Tables_number 127
_symmetry_space_group_name_Hall '-P 4 2ab'
_cell_length_a 11.611
_cell_length_b 11.611
_cell_length_c 3.668
_cell_angle_alpha 90.00
_cell_angle_beta 90.00
_cell_angle_gamma 90.00
loop_
_atom_site_label
_atom_site_type_symbol
_atom_site_fract_x
_atom_site_fract_y
_atom_site_fract_z
_atom_site_occupancy
Er1 Er 0.000 0.500 0.000 1
Er2 Er 0.078 0.203 0.000 1
In1 In 0.173 0.673 0.500 1
Hg1 Hg 0.000 0.000 0.500 1
Rh1 Rh 0.133 0.367 0.500 1
```

Summary:
Its formation energy from the elements is -0.60 eV/atom. As for the crystal system: tetragonal. The value obtained for the electronic total energy is -4.932 eV/atom.

***

No. 5
Density functional theory data (PBE) for ErLuPuTl after structural relaxation.

```
data_ErLuPuTl
_chemical_formula_sum 'Er4 Lu4 Pu4 Tl4'
_symmetry_space_group_name_H-M 'F -4 3 m'
_symmetry_Int_Tables_number 216
_symmetry_space_group_name_Hall 'F -4 2 3'
_cell_length_a 7.632
_cell_length_b 7.632
_cell_length_c 7.632
_cell_angle_alpha 90.00
_cell_angle_beta 90.00
_cell_angle_gamma 90.00
loop_
_atom_site_label
_atom_site_type_symbol
_atom_site_fract_x
_atom_site_fract_y
_atom_site_fract_z
_atom_site_occupancy
Er1 Er 0.000 0.000 0.000 1
Lu1 Lu 0.250 0.250 0.250 1
Pu1 Pu 0.000 0.000 0.500 1
Tl1 Tl 0.250 0.250 0.750 1
```

Summary:
Its formation energy from the elements is 0.06 eV/atom. As for the crystal system: cubic. The value obtained for the electronic total energy is -6.389 eV/atom.

***

No. 6
Density functional theory data (PBE) for KTl2AgI4 after structural relaxation.

```
data_KTl2AgI4
_chemical_formula_sum 'K4 Tl8 Ag4 I16'
_symmetry_space_group_name_H-M 'C m c m'
_symmetry_Int_Tables_number 63
_symmetry_space_group_name_Hall '-C 2c 2'
_cell_length_a 4.818
_cell_length_b 16.160
_cell_length_c 17.623
_cell_angle_alpha 90.00
_cell_angle_beta 90.00
_cell_angle_gamma 90.00
loop_
_atom_site_label
_atom_site_type_symbol
_atom_site_fract_x
_atom_site_fract_y
_atom_site_fract_z
_atom_site_occupancy
K1 K 0.000 0.116 0.250 1
Tl1 Tl 0.000 0.365 0.056 1
Ag1 Ag 0.000 0.163 0.750 1
I1 I 0.000 0.000 0.000 1
I2 I 0.000 0.282 0.628 1
I3 I 0.000 0.438 0.250 1
```

Summary:
As for the crystal system: orthorhombic. The value obtained for the electronic total energy is -2.610 eV/atom. As for the uncorrected formation energy: -6.00 eV per formula unit.

***

Ordered N(E_F) results: 8.58 32.04 8.08 13.60 32.83 0.00; unit states/eV/cell.